w | CaAsOs3 (GGA-PBE, relaxed); SG = No. 221
1.0
-2.7159 2.3822 -2.9782
-2.2001 -3.9651 -1.1654
-3.1152 0.7234 3.4195
As Os Ca
1 3 1
Direct
0.5000 0.5000 0.5000
0.0000 0.5000 0.0000
0.0000 0.0000 0.5000
0.5000 0.0000 0.0000
0.0000 0.0000 0.0000



x | CaAsOs3 (GGA-PBE, relaxed); SG = No. 221
1.0
-2.6421 1.5845 3.4228
2.4738 -2.4266 3.0330
2.8472 3.5788 0.5410
As Os Ca
1 3 1
Direct
0.0000 0.0000 0.0000
0.0000 0.5000 0.0000
0.0000 0.0000 0.5000
0.5000 0.0000 0.0000
0.5000 0.5000 0.5000



Verdict on stability: w comes out at the bottom.



w | CaAs2OsSe (GGA-PBE, relaxed); SG = No. 123
1.0
-4.4221 -1.1306 -2.6798
0.9525 -5.1707 0.6097
-2.6686 0.0263 4.3926
As Os Ca Se
2 1 1 1
Direct
0.0000 0.5000 0.0000
0.5000 0.0000 0.0000
0.5000 0.5000 0.5000
0.0000 0.0000 0.0000
0.0000 0.0000 0.5000



x | CaAs2OsSe (GGA-PBE, relaxed); SG = No. 123
1.0
-3.1675 -2.7443 2.0628
0.1817 -2.9367 -3.6280
4.1959 -2.9128 2.5680
As Os Ca Se
2 1 1 1
Direct
0.0000 0.5000 0.0000
0.5000 0.0000 0.0000
0.0000 0.0000 0.0000
0.5000 0.5000 0.5000
0.0000 0.0000 0.5000



Verdict on stability: w comes out at the bottom.